[1]
NaPa2BeN4 | PBE-GGA | optimized geometry

Output
- ΔE_f (raw): -737 kJ/mol of formula units
- Calculated volume: 15.63 Å³ per atom
- DFT total energy: -8.122 eV per atom
- Magnetization: 0.98 μB per formula unit

Cell: 6.8713 6.8713 7.5921 Å, 123.32 123.32 70.48°
Positions (direct):
Na 0.0000 0.5000 0.0000
Na 0.5000 0.0000 0.5000
Pa 0.0000 0.0000 0.0000
Pa 0.0000 0.0000 0.5000
Pa 0.0000 0.5000 0.5000
Pa 0.5000 0.0000 0.0000
Be 0.5000 0.5000 0.0000
Be 0.5000 0.5000 0.5000
N 0.1533 0.1676 0.4086
N 0.1676 0.1533 0.9086
N 0.2973 0.7007 0.9564
N 0.2993 0.7027 0.5436
N 0.7007 0.2973 0.4564
N 0.7027 0.2993 0.0436
N 0.8324 0.8467 0.0914
N 0.8467 0.8324 0.5914


[2]
TlHIBr | PBE-GGA | optimized geometry

Output
- Calculated volume: 42.83 Å³ per atom
- DFT total energy: -2.666 eV per atom
- Magnetization: 0.00 μB per formula unit

Cell: 9.1943 5.2779 7.6806 Å, 90.00 113.18 90.00°
Positions (direct):
Tl 0.0000 0.0000 0.0000
Tl 0.5000 0.5000 0.0000
H 0.0100 0.5000 0.5288
H 0.5100 0.0000 0.5288
I 0.4072 0.0000 0.2277
I 0.9072 0.5000 0.2277
Br 0.0857 0.5000 0.7505
Br 0.5857 0.0000 0.7505